1.
Cs3AsBr: relaxed, GGA-PBE. Values from VASP.

Values from the calculation:
ΔE_f (raw): -4.4 eV/f.u.
crystal system: orthorhombic
energy relative to the lowest polymorph listed for this composition: 0 meV per atom
space group: Fmmm

Structure (Quantum ESPRESSO input):
```
&SYSTEM
  ibrav = 0, nat = 10, ntyp = 3
/
ATOMIC_SPECIES
Cs 132.91 Cs.upf
As 74.92 As.upf
Br 79.90 Br.upf
CELL_PARAMETERS angstrom
0.0000 5.5068 9.8683
4.0236 0.0000 9.8683
4.0236 5.5068 0.0000
ATOMIC_POSITIONS crystal
Cs 0.1790 0.1790 0.8210
Cs 0.2123 0.6048 0.3952
Cs 0.3952 0.7877 0.2123
Cs 0.6048 0.2123 0.7877
Cs 0.7877 0.3952 0.6048
Cs 0.8210 0.8210 0.1790
As 0.1601 0.8399 0.8399
As 0.8399 0.1601 0.1601
Br 0.2500 0.2500 0.2500
Br 0.7500 0.7500 0.7500
```

2.
AsRhPb2: relaxed, GGA-PBE. Values from VASP.

Values from the calculation:
crystal system: orthorhombic
energy relative to the elements: 0.230 eV/atom
space group: Cmmm

Structure (Quantum ESPRESSO input):
```
&SYSTEM
  ibrav = 0, nat = 4, ntyp = 3
/
ATOMIC_SPECIES
As 74.92 As.upf
Rh 102.91 Rh.upf
Pb 207.20 Pb.upf
CELL_PARAMETERS angstrom
3.3247 -3.8293 0.0000
3.3247 3.8293 0.0000
0.0000 0.0000 3.5104
ATOMIC_POSITIONS crystal
As 0.0000 0.0000 0.0000
Rh 0.5000 0.5000 0.0000
Pb 0.0000 0.5000 0.5000
Pb 0.5000 0.0000 0.5000
```

3.
PuTe2PbO8: relaxed, GGA-PBE. Values from VASP.

Values from the calculation:
ΔE_f (raw): -18.9 eV/f.u.
crystal system: monoclinic
space group: C2/m

Structure (Quantum ESPRESSO input):
```
&SYSTEM
  ibrav = 0, nat = 12, ntyp = 4
/
ATOMIC_SPECIES
Pu 244.00 Pu.upf
Te 127.60 Te.upf
Pb 207.20 Pb.upf
O 16.00 O.upf
CELL_PARAMETERS angstrom
6.6815 -2.9517 0.0000
6.6815 2.9517 0.0000
-2.0233 0.0000 5.2848
ATOMIC_POSITIONS crystal
Pu 0.0000 0.0000 0.0000
Te 0.2951 0.2951 0.7908
Te 0.7049 0.7049 0.2092
Pb 0.5000 0.5000 0.5000
O 0.0708 0.0708 0.7808
O 0.1647 0.6212 0.7560
O 0.3262 0.3262 0.1385
O 0.3788 0.8353 0.2440
O 0.6212 0.1647 0.7560
O 0.6738 0.6738 0.8615
O 0.8353 0.3788 0.2440
O 0.9292 0.9292 0.2192
```

4.
LiMg14Ru: relaxed, GGA-PBE. Values from VASP.

Values from the calculation:
crystal system: orthorhombic
energy relative to the elements: 0.007 eV/atom
space group: Cmmm

Structure (Quantum ESPRESSO input):
```
&SYSTEM
  ibrav = 0, nat = 16, ntyp = 3
/
ATOMIC_SPECIES
Li 6.94 Li.upf
Mg 24.30 Mg.upf
Ru 101.07 Ru.upf
CELL_PARAMETERS angstrom
4.3101 -4.4580 0.0000
4.3101 4.4580 0.0000
0.0000 0.0000 8.7227
ATOMIC_POSITIONS crystal
Li 0.0000 0.0000 0.0000
Mg 0.0000 0.0000 0.5000
Mg 0.0000 0.5000 0.0000
Mg 0.0000 0.5000 0.5000
Mg 0.2580 0.2580 0.2345
Mg 0.2580 0.2580 0.7655
Mg 0.2595 0.7405 0.2372
Mg 0.2595 0.7405 0.7628
Mg 0.5000 0.0000 0.0000
Mg 0.5000 0.0000 0.5000
Mg 0.5000 0.5000 0.5000
Mg 0.7405 0.2595 0.2372
Mg 0.7405 0.2595 0.7628
Mg 0.7420 0.7420 0.2345
Mg 0.7420 0.7420 0.7655
Ru 0.5000 0.5000 0.0000
```

5.
TaAl3Sb: relaxed, GGA-PBE. Values from VASP.

Values from the calculation:
ΔE_f (raw): 4.5 eV/f.u.
crystal system: cubic
energy relative to the lowest polymorph listed for this composition: 0 meV per atom
space group: Pm-3m

Structure (Quantum ESPRESSO input):
```
&SYSTEM
  ibrav = 0, nat = 5, ntyp = 3
/
ATOMIC_SPECIES
Ta 180.95 Ta.upf
Al 26.98 Al.upf
Sb 121.76 Sb.upf
CELL_PARAMETERS angstrom
5.0535 0.0000 0.0000
0.0000 5.0535 0.0000
0.0000 0.0000 5.0535
ATOMIC_POSITIONS crystal
Ta 0.0000 0.0000 0.0000
Al 0.0000 0.0000 0.5000
Al 0.0000 0.5000 0.0000
Al 0.5000 0.0000 0.0000
Sb 0.5000 0.5000 0.5000
```

6.
InReTe2: relaxed, GGA-PBE. Values from VASP.

Values from the calculation:
ΔE_f (raw): 1.1 eV/f.u.
crystal system: orthorhombic
space group: Imm2

Structure (Quantum ESPRESSO input):
```
&SYSTEM
  ibrav = 0, nat = 4, ntyp = 3
/
ATOMIC_SPECIES
In 114.82 In.upf
Re 186.21 Re.upf
Te 127.60 Te.upf
CELL_PARAMETERS angstrom
-1.6375 1.6443 9.8198
1.6375 -1.6443 9.8198
1.6375 1.6443 -9.8198
ATOMIC_POSITIONS crystal
In 0.0000 0.0000 0.0000
Re 0.2426 0.7426 0.5000
Te 0.3503 0.3503 0.0000
Te 0.6683 0.1683 0.5000
```

7.
LaTe2PtI: relaxed, GGA-PBE. Values from VASP.

Values from the calculation:
ΔE_f (raw): -2.7 eV/f.u.
crystal system: tetragonal
energy relative to the lowest polymorph listed for this composition: 0 meV per atom
space group: P4/mmm

Structure (Quantum ESPRESSO input):
```
&SYSTEM
  ibrav = 0, nat = 5, ntyp = 4
/
ATOMIC_SPECIES
La 138.91 La.upf
Te 127.60 Te.upf
Pt 195.08 Pt.upf
I 126.90 I.upf
CELL_PARAMETERS angstrom
5.4042 0.0000 0.0000
0.0000 5.4042 0.0000
0.0000 0.0000 5.3440
ATOMIC_POSITIONS crystal
La 0.0000 0.0000 0.0000
Te 0.0000 0.5000 0.5000
Te 0.5000 0.0000 0.5000
Pt 0.5000 0.5000 0.5000
I 0.5000 0.5000 0.0000
```

8.
Na2HN: relaxed, GGA-PBE. Values from VASP.

Values from the calculation:
crystal system: monoclinic
space group: Cm
E_tot: -14.69 eV for the cell shown

Structure (Quantum ESPRESSO input):
```
&SYSTEM
  ibrav = 0, nat = 4, ntyp = 3
/
ATOMIC_SPECIES
Na 22.99 Na.upf
H 1.01 H.upf
N 14.01 N.upf
CELL_PARAMETERS angstrom
3.1113 -3.1353 0.0000
3.1113 3.1353 0.0000
-1.5983 0.0000 3.1270
ATOMIC_POSITIONS crystal
Na 0.2318 0.7682 0.0000
Na 0.7682 0.2318 0.0000
H 0.2647 0.2647 0.4781
N 0.1741 0.1741 0.6657
```

9.
Na2HoBO4: relaxed, GGA-PBE. Values from VASP.

Values from the calculation:
ΔE_f (raw): -15.4 eV/f.u.
crystal system: orthorhombic
space group: Fddd

Structure (Quantum ESPRESSO input):
```
&SYSTEM
  ibrav = 0, nat = 16, ntyp = 4
/
ATOMIC_SPECIES
Na 22.99 Na.upf
Ho 164.93 Ho.upf
B 10.81 B.upf
O 16.00 O.upf
CELL_PARAMETERS angstrom
0.0000 5.3789 11.6535
2.5314 0.0000 11.6535
2.5314 5.3789 0.0000
ATOMIC_POSITIONS crystal
Na 0.0813 0.0813 0.6687
Na 0.3313 0.3313 0.9187
Na 0.6687 0.6687 0.0813
Na 0.9187 0.9187 0.3313
Ho 0.1250 0.1250 0.1250
Ho 0.8750 0.8750 0.8750
B 0.3750 0.3750 0.3750
B 0.6250 0.6250 0.6250
O 0.0804 0.5982 0.4912
O 0.3302 0.4912 0.5982
O 0.4018 0.9196 0.6698
O 0.4912 0.3302 0.0804
O 0.5088 0.6698 0.9196
O 0.5982 0.0804 0.3302
O 0.6698 0.5088 0.4018
O 0.9196 0.4018 0.5088
```

10.
MoOs3C: relaxed, GGA-PBE. Values from VASP.

Values from the calculation:
crystal system: cubic
energy relative to the lowest polymorph listed for this composition: 0 meV per atom
energy relative to the elements: 0.493 eV/atom
space group: Pm-3m

Structure (Quantum ESPRESSO input):
```
&SYSTEM
  ibrav = 0, nat = 5, ntyp = 3
/
ATOMIC_SPECIES
Mo 95.94 Mo.upf
Os 190.23 Os.upf
C 12.01 C.upf
CELL_PARAMETERS angstrom
4.0602 0.0000 0.0000
0.0000 4.0602 0.0000
0.0000 0.0000 4.0602
ATOMIC_POSITIONS crystal
Mo 0.0000 0.0000 0.0000
Os 0.0000 0.5000 0.5000
Os 0.5000 0.0000 0.5000
Os 0.5000 0.5000 0.0000
C 0.5000 0.5000 0.5000
```

11.
SmYC2: relaxed, GGA-PBE. Values from VASP.

Values from the calculation:
crystal system: trigonal
energy relative to the elements: 0.133 eV/atom
space group: R-3m

Structure (Quantum ESPRESSO input):
```
&SYSTEM
  ibrav = 0, nat = 4, ntyp = 3
/
ATOMIC_SPECIES
Sm 150.36 Sm.upf
Y 88.91 Y.upf
C 12.01 C.upf
CELL_PARAMETERS angstrom
1.8309 1.0571 5.9604
-1.8309 1.0571 5.9604
0.0000 -2.1141 5.9604
ATOMIC_POSITIONS crystal
Sm 0.0000 0.0000 0.0000
Y 0.5000 0.5000 0.5000
C 0.2480 0.2480 0.2480
C 0.7520 0.7520 0.7520
```

12.
NdB2Os2: relaxed, GGA-PBE. Values from VASP.

Values from the calculation:
crystal system: orthorhombic
energy relative to the elements: -0.433 eV/atom
space group: Fddd

Structure (Quantum ESPRESSO input):
```
&SYSTEM
  ibrav = 0, nat = 10, ntyp = 3
/
ATOMIC_SPECIES
Nd 144.24 Nd.upf
B 10.81 B.upf
Os 190.23 Os.upf
CELL_PARAMETERS angstrom
0.0000 4.5735 5.0257
3.3194 0.0000 5.0257
3.3194 4.5735 0.0000
ATOMIC_POSITIONS crystal
Nd 0.1250 0.1250 0.1250
Nd 0.8750 0.8750 0.8750
B 0.1892 0.5608 0.1892
B 0.4392 0.8108 0.4392
B 0.5608 0.1892 0.5608
B 0.8108 0.4392 0.8108
Os 0.2382 0.2382 0.5118
Os 0.4882 0.4882 0.7618
Os 0.5118 0.5118 0.2382
Os 0.7618 0.7618 0.4882
```

Quick rundown of volume, same order as above: 437.3 89.4 208.5 335.2 129.1 105.8 156.1 61.0 317.4 66.9 69.2 152.6 Å³ per cell